1.
A plane-wave DFT calculation with PBE was carried out for a geometry-optimized CuPI2 structure.

a = 7.1296 Å, b = 4.8390 Å, c = 7.5918 Å
α = 90.00°, β = 116.28°, γ = 90.00°
Positions (direct):
Cu 0.0000 0.0000 0.0000
Cu 0.5000 0.5000 0.0000
P 0.0000 0.5200 0.5000
P 0.5000 0.0200 0.5000
I 0.1730 0.1798 0.7789
I 0.3270 0.6798 0.2211
I 0.6730 0.6798 0.7789
I 0.8270 0.1798 0.2211

Energy above the lowest structure with this stoichiometry ... 0 meV per atom
Total energy ... -2.715 eV per atom
V ... 29.4 Å³/atom
Space-group type ... C2
D(E_F) ... 0.015 states/eV per atom
ρ ... 4.926 g cm⁻³
Formation energy (no corrections) ... 42.1 kJ per mole of atoms

***

2.
A plane-wave DFT calculation with PBE was carried out for a geometry-optimized CuPI2 structure.

a = 7.2008 Å, b = 7.2008 Å, c = 7.2008 Å
α = 90.00°, β = 90.00°, γ = 90.00°
Positions (direct):
Cu 0.0000 0.0000 0.0000
Cu 0.0000 0.5000 0.5000
Cu 0.5000 0.0000 0.5000
Cu 0.5000 0.5000 0.0000
P 0.0000 0.0000 0.5000
P 0.0000 0.5000 0.0000
P 0.5000 0.0000 0.0000
P 0.5000 0.5000 0.5000
I 0.2500 0.2500 0.2500
I 0.2500 0.2500 0.7500
I 0.2500 0.7500 0.2500
I 0.2500 0.7500 0.7500
I 0.7500 0.2500 0.2500
I 0.7500 0.2500 0.7500
I 0.7500 0.7500 0.2500
I 0.7500 0.7500 0.7500

Energy above the lowest structure with this stoichiometry ... 441 meV per atom
Total energy ... -2.274 eV per atom
V ... 23.3 Å³/atom
Space-group type ... Fm-3m
D(E_F) ... 0.603 states/eV per atom
ρ ... 6.197 g cm⁻³
Formation energy (no corrections) ... 84.7 kJ per mole of atoms

***

3.
A plane-wave DFT calculation with PBE was carried out for a geometry-optimized Cu3P15I2 structure.

a = 9.7211 Å, b = 19.4037 Å, c = 11.9651 Å
α = 90.00°, β = 123.16°, γ = 90.00°
Positions (direct):
Cu 0.0071 0.0546 0.3356
Cu 0.0071 0.4454 0.8356
Cu 0.3832 0.7048 0.4453
Cu 0.3832 0.7952 0.9453
Cu 0.3993 0.5576 0.1665
Cu 0.3993 0.9424 0.6665
Cu 0.6007 0.0576 0.3335
Cu 0.6007 0.4424 0.8335
Cu 0.6168 0.2048 0.0547
Cu 0.6168 0.2952 0.5547
Cu 0.9929 0.5546 0.1644
Cu 0.9929 0.9454 0.6644
P 0.0046 0.5875 0.6179
P 0.0053 0.6564 0.8943
P 0.0053 0.8436 0.3943
P 0.0046 0.9125 0.1179
P 0.1305 0.0844 0.5554
P 0.1305 0.4156 0.0554
P 0.1476 0.1464 0.8315
P 0.1476 0.3536 0.3315
P 0.1604 0.5214 0.7987
P 0.1604 0.9786 0.2987
P 0.1858 0.6683 0.6546
P 0.1858 0.8317 0.1546
P 0.2219 0.0007 0.7015
P 0.2219 0.4993 0.2015
P 0.2348 0.6011 0.9538
P 0.2348 0.8989 0.4538
P 0.3042 0.5812 0.6158
P 0.3042 0.9188 0.1158
P 0.3300 0.1624 0.6307
P 0.3300 0.3376 0.1307
P 0.3339 0.0635 0.8822
P 0.3339 0.4365 0.3822
P 0.3397 0.6805 0.8846
P 0.3397 0.8195 0.3846
P 0.4100 0.5229 0.8056
P 0.4100 0.9771 0.3056
P 0.4530 0.1087 0.5471
P 0.4530 0.3913 0.0471
P 0.4865 0.1406 0.8580
P 0.4865 0.3594 0.3580
P 0.5135 0.6406 0.6420
P 0.5135 0.8594 0.1420
P 0.5470 0.6087 0.9529
P 0.5470 0.8913 0.4529
P 0.5900 0.0229 0.6944
P 0.5900 0.4771 0.1944
P 0.6603 0.1805 0.6154
P 0.6603 0.3195 0.1154
P 0.6661 0.5635 0.6178
P 0.6661 0.9365 0.1178
P 0.6700 0.6624 0.8693
P 0.6700 0.8376 0.3693
P 0.6958 0.0812 0.8842
P 0.6958 0.4188 0.3842
P 0.7652 0.1011 0.5462
P 0.7652 0.3989 0.0462
P 0.7781 0.5007 0.7985
P 0.7781 0.9993 0.2985
P 0.8142 0.1683 0.8454
P 0.8142 0.3317 0.3454
P 0.8396 0.0214 0.7013
P 0.8396 0.4786 0.2013
P 0.8524 0.6464 0.6685
P 0.8524 0.8536 0.1685
P 0.8695 0.5844 0.9446
P 0.8695 0.9156 0.4446
P 0.9954 0.0875 0.8821
P 0.9947 0.1564 0.6057
P 0.9947 0.3436 0.1057
P 0.9954 0.4125 0.3821
I 0.0632 0.6695 0.2993
I 0.0632 0.8305 0.7993
I 0.4779 0.1677 0.1868
I 0.4779 0.3323 0.6868
I 0.5221 0.6677 0.3132
I 0.5221 0.8323 0.8132
I 0.9368 0.1695 0.2007
I 0.9368 0.3305 0.7007

Total energy ... -4.918 eV per atom
V ... 23.6 Å³/atom
Space-group type ... P2_1/c
ρ ... 3.196 g cm⁻³
Formation energy (no corrections) ... -8.8 kJ per mole of atoms

***

4.
A plane-wave DFT calculation with PBE was carried out for a geometry-optimized CuP4I structure.

a = 9.8730 Å, b = 14.0010 Å, c = 13.3409 Å
α = 90.00°, β = 108.77°, γ = 90.00°
Positions (direct):
Cu 0.0106 0.0000 0.4282
Cu 0.0971 0.7095 0.4419
Cu 0.2081 0.6050 0.0099
Cu 0.2100 0.1565 0.2132
Cu 0.2102 0.8806 0.1475
Cu 0.2110 0.4329 0.3518
Cu 0.7890 0.9329 0.6482
Cu 0.7898 0.3806 0.8525
Cu 0.7900 0.6565 0.7868
Cu 0.7919 0.1050 0.9901
Cu 0.9029 0.2095 0.5581
Cu 0.9894 0.5000 0.5718
P 0.2354 0.9849 0.4303
P 0.2371 0.0572 0.9490
P 0.3044 0.7562 0.4251
P 0.3077 0.8860 0.3277
P 0.3097 0.2824 0.9901
P 0.3201 0.1519 0.0873
P 0.3216 0.8493 0.8871
P 0.3267 0.1900 0.5299
P 0.3350 0.1114 0.3816
P 0.3360 0.9287 0.0400
P 0.3485 0.6996 0.9475
P 0.3524 0.3392 0.4817
P 0.3869 0.9544 0.5955
P 0.3884 0.0852 0.8554
P 0.4066 0.5095 0.0522
P 0.4087 0.5279 0.4025
P 0.4307 0.4733 0.8971
P 0.4358 0.5627 0.5706
P 0.4451 0.6231 0.8365
P 0.4523 0.6735 0.3548
P 0.4573 0.4134 0.6392
P 0.4584 0.3659 0.1257
P 0.4659 0.8062 0.5762
P 0.4669 0.2336 0.9117
P 0.5331 0.7336 0.0883
P 0.5341 0.3062 0.4238
P 0.5416 0.8659 0.8743
P 0.5427 0.9134 0.3608
P 0.5477 0.1735 0.6452
P 0.5549 0.1231 0.1635
P 0.5642 0.0627 0.4294
P 0.5693 0.9733 0.1029
P 0.5913 0.0279 0.5975
P 0.5934 0.0095 0.9478
P 0.6116 0.5852 0.1446
P 0.6131 0.4544 0.4045
P 0.6476 0.8392 0.5183
P 0.6515 0.1996 0.0525
P 0.6640 0.4287 0.9600
P 0.6650 0.6114 0.6184
P 0.6733 0.6900 0.4701
P 0.6784 0.3493 0.1129
P 0.6799 0.6518 0.9127
P 0.6903 0.7824 0.0099
P 0.6923 0.3860 0.6723
P 0.6956 0.2562 0.5749
P 0.7629 0.5572 0.0510
P 0.7646 0.4849 0.5697
I 0.0022 0.0322 0.6284
I 0.0071 0.0204 0.1344
I 0.0953 0.6716 0.6365
I 0.1061 0.3348 0.6459
I 0.1060 0.7063 0.1300
I 0.1112 0.3339 0.1807
I 0.8888 0.8339 0.8193
I 0.8940 0.2063 0.8700
I 0.8939 0.8348 0.3541
I 0.9047 0.1716 0.3635
I 0.9929 0.5204 0.8656
I 0.9978 0.5322 0.3716

Total energy ... -4.632 eV per atom
V ... 24.3 Å³/atom
Space-group type ... P2_1
ρ ... 3.587 g cm⁻³
Formation energy (no corrections) ... -8.1 kJ per mole of atoms

***

5.
A plane-wave DFT calculation with PBE was carried out for a geometry-optimized CuPI3 structure.

a = 7.0919 Å, b = 7.7524 Å, c = 9.4041 Å
α = 69.55°, β = 71.32°, γ = 76.46°
Positions (direct):
Cu 0.1096 0.1918 0.2276
Cu 0.8904 0.8082 0.7724
P 0.1582 0.4437 0.0022
P 0.8418 0.5563 0.9978
I 0.2227 0.6601 0.1196
I 0.2455 0.6502 0.6990
I 0.3658 0.9288 0.2977
I 0.6342 0.0712 0.7023
I 0.7545 0.3498 0.3010
I 0.7773 0.3399 0.8804

Energy above the lowest structure with this stoichiometry ... 0 meV per atom
Total energy ... -2.868 eV per atom
V ... 45.5 Å³/atom
Space-group type ... P-1
ρ ... 3.472 g cm⁻³
Formation energy (no corrections) ... -3.5 kJ per mole of atoms

***

6.
A plane-wave DFT calculation with PBE was carried out for a geometry-optimized Cu3PI structure.

a = 4.5546 Å, b = 4.5546 Å, c = 4.5546 Å
α = 90.00°, β = 90.00°, γ = 90.00°
Positions (direct):
Cu 0.0000 0.0000 0.5000
Cu 0.0000 0.5000 0.0000
Cu 0.5000 0.0000 0.0000
P 0.0000 0.0000 0.0000
I 0.5000 0.5000 0.5000

Energy above the lowest structure with this stoichiometry ... 0 meV per atom
Total energy ... -3.613 eV per atom
V ... 18.9 Å³/atom
Space-group type ... Pm-3m
D(E_F) ... 0.901 states/eV per atom
ρ ... 6.125 g cm⁻³
Formation energy (no corrections) ... 22.8 kJ per mole of atoms

***

7.
A plane-wave DFT calculation with PBE was carried out for a geometry-optimized CuPI6 structure.

a = 6.1173 Å, b = 7.3715 Å, c = 8.3480 Å
α = 69.49°, β = 70.68°, γ = 84.07°
Positions (direct):
Cu 0.0000 0.0000 0.0000
P 0.5000 0.5000 0.0000
I 0.1013 0.6662 0.1878
I 0.2388 0.1479 0.1361
I 0.4663 0.6806 0.6607
I 0.5337 0.3194 0.3393
I 0.7612 0.8521 0.8639
I 0.8987 0.3338 0.8122

Total energy ... -2.261 eV per atom
V ... 41.6 Å³/atom
Space-group type ... P-1
D(E_F) ... 0.173 states/eV per atom
ρ ... 4.272 g cm⁻³
Formation energy (no corrections) ... 8.7 kJ per mole of atoms

***

8.
A plane-wave DFT calculation with PBE was carried out for a geometry-optimized Cu2PI8 structure.

a = 6.5636 Å, b = 7.8077 Å, c = 9.3809 Å
α = 82.58°, β = 70.05°, γ = 80.93°
Positions (direct):
Cu 0.1448 0.1292 0.2572
Cu 0.8552 0.8708 0.7428
P 0.0000 0.5000 0.0000
I 0.1536 0.7940 0.2869
I 0.2302 0.6909 0.7455
I 0.2618 0.2346 0.4672
I 0.3538 0.2522 0.9820
I 0.6462 0.7478 0.0180
I 0.7382 0.7654 0.5328
I 0.7698 0.3091 0.2545
I 0.8464 0.2060 0.7131

Total energy ... -2.320 eV per atom
V ... 40.4 Å³/atom
Space-group type ... P-1
D(E_F) ... 0.165 states/eV per atom
ρ ... 4.380 g cm⁻³
Formation energy (no corrections) ... 4.3 kJ per mole of atoms